Record 1
The following is a GGA-PBE calculation of a relaxed structure of NbSn2HN, from the Alexandria database.

- total energy (eV per formula unit) = -27.6

a b c (Å): 5.154 5.154 2.866
angles (deg): 90.00 90.00 90.00
Space group P4/mmm (No. 123)
Inequivalent atoms, fractional coordinates:
1 Nb 0.000 0.000 0.000 (multiplicity 1)
2 Sn 0.000 0.500 0.500 (multiplicity 2)
3 H 0.500 0.500 0.000 (multiplicity 1)
4 N 0.500 0.500 0.500 (multiplicity 1)

---

Record 2
The following is a GGA-PBE calculation of a relaxed structure of Dy3Tl2In3Hg, from the Alexandria database.

- calculated formation energy (eV/atom) = -0.30

a b c (Å): 8.5544 8.5544 3.7183
angles (deg): 90.00 90.00 120.00
Space group P-62m (No. 189)
Inequivalent atoms, fractional coordinates:
1 Dy 0.0000 0.3645 0.0000 (multiplicity 3)
2 Tl 0.3333 0.6667 0.5000 (multiplicity 2)
3 In 0.0000 0.7141 0.5000 (multiplicity 3)
4 Hg 0.0000 0.0000 0.0000 (multiplicity 1)

---

Record 3
The following is a GGA-PBE calculation of a relaxed structure of Mn2TlC, from the Alexandria database.

- calculated formation energy (eV/atom) = 0.62

a b c (Å): 5.238 5.238 10.243
angles (deg): 90.00 90.00 90.00
Space group I-42d (No. 122)
Inequivalent atoms, fractional coordinates:
1 Mn 0.073 0.250 0.125 (multiplicity 8)
2 Tl 0.000 0.000 0.500 (multiplicity 4)
3 C 0.000 0.000 0.000 (multiplicity 4)

---

Computed density of states at the Fermi level (states/eV per atom) in order:
0.394, 0.561, 0.649